Here is a relaxed structure of BaFeI4 from Alexandria via LeMat-Bulk. Energies are from PBE.

DOS(E_F)	4.8	states/eV per cell
formation energy without anion corrections	-867	meV per atom
ρ	4.3	g cm⁻³
M_tot	4.0	μB/f.u.
space-group type	I-4, No. 82

Unit cell a=8.754 b=7.058 c=7.058 alpha=112.62 beta=128.33 gamma=51.67
Sites, in units of the cell vectors:
I1 0.870 0.559 0.086
I2 0.571 0.086 0.441
Ba1 0.750 0.500 0.500
Fe1 0.500 0.000 0.000
I3 0.215 0.914 0.559
I4 0.344 0.441 0.914